(1)
## NaFe2Co2 (GGA-PBE)

Data for a relaxed NaFe2Co2 crystal.

The structure in extended XYZ format:
```
10
Lattice="7.382 0.000 0.000 0.000 7.382 0.000 0.000 0.000 2.468" Properties=species:S:1:pos:R:3 pbc="T T T"
Na 0.000 0.000 0.000
Na 3.691 3.691 0.000
Fe 1.019 2.672 0.000
Fe 2.672 6.363 0.000
Fe 4.709 1.019 0.000
Fe 6.363 4.709 0.000
Co 1.130 4.821 1.234
Co 2.561 1.130 1.234
Co 4.821 6.252 1.234
Co 6.252 2.561 1.234
```

Calculated values
The value obtained for the formation energy is 0.30 eV per atom. Its space group is P4/mbm, No. 127.



(2)
## ZnPBr2 (GGA-PBE)

Data for a relaxed ZnPBr2 crystal.

The structure in extended XYZ format:
```
4
Lattice="-2.690 2.690 3.285 2.690 -2.690 3.285 2.690 2.690 -3.285" Properties=species:S:1:pos:R:3 pbc="T T T"
Zn 0.000 0.000 0.000
P 0.000 0.000 3.285
Br 2.690 0.000 0.000
Br 0.000 2.690 0.000
```

Calculated values
The total energy is -0.0831 Ha/atom. Its space group is I4/mmm, No. 139.



(3)
## Mo3Ru (GGA-PBE)

Data for a relaxed Mo3Ru crystal.

The structure in extended XYZ format:
```
4
Lattice="3.954 0.000 0.000 0.000 3.954 0.000 0.000 0.000 3.954" Properties=species:S:1:pos:R:3 pbc="T T T"
Mo 0.000 0.000 1.977
Mo 0.000 1.977 0.000
Mo 1.977 0.000 0.000
Ru 1.977 1.977 1.977
```

Calculated values
The value obtained for the formation energy is 0.19 eV per atom. Its space group is Pm-3m, No. 221.



(4)
## Be2PAu (GGA-PBE)

Data for a relaxed Be2PAu crystal.

The structure in extended XYZ format:
```
4
Lattice="-1.736 2.154 3.423 1.736 -2.154 3.423 1.736 2.154 -3.423" Properties=species:S:1:pos:R:3 pbc="T T T"
Be 0.000 0.000 1.525
Be 0.000 0.000 5.321
P 1.736 0.000 0.000
Au 0.000 2.154 0.000
```

Calculated values
The value obtained for the formation energy is 0.27 eV per atom. Its space group is Immm, No. 71.